1.
Compound: HgRu3Br
Source: Alexandria via LeMat-Bulk
Functional: PBE
Structure: optimized geometry

a b c (Å): 5.094 5.094 5.094
angles (deg): 90.00 90.00 90.00
Fractional positions:
Br: 0.500 0.500 0.500
Ru: 0.000 0.000 0.500
Ru: 0.500 0.000 0.000
Ru: 0.000 0.500 0.000
Hg: 0.000 0.000 0.000

Calculated values
energy above the most stable polymorph in this dataset = 793 meV per atom


2.
Compound: Hg2RuBr
Source: Alexandria via LeMat-Bulk
Functional: PBE
Structure: optimized geometry

a b c (Å): 3.389 5.034 5.034
angles (deg): 90.00 90.00 90.00
Fractional positions:
Ru: 0.500 0.500 0.000
Hg: 0.000 0.500 0.500
Hg: 0.000 0.000 0.000
Br: 0.500 0.000 0.500

Calculated values
energy above the most stable polymorph in this dataset = 389 meV per atom


3.
Compound: HgRuBr3
Source: Alexandria via LeMat-Bulk
Functional: PBE
Structure: optimized geometry

a b c (Å): 5.149 5.149 5.149
angles (deg): 90.00 90.00 90.00
Fractional positions:
Br: 0.000 0.500 0.000
Br: 0.000 0.000 0.500
Br: 0.500 0.000 0.000
Hg: 0.500 0.500 0.500
Ru: 0.000 0.000 0.000

Calculated values
energy above the most stable polymorph in this dataset = 0 meV per atom


4.
Compound: HgRu2Br4
Source: Alexandria via LeMat-Bulk
Functional: PBE
Structure: optimized geometry

a b c (Å): 5.652 5.652 7.849
angles (deg): 68.90 68.90 90.00
Fractional positions:
Br: 0.241 0.241 0.517
Br: 0.500 0.000 0.000
Br: 0.000 0.500 0.000
Br: 0.759 0.759 0.483
Ru: 0.578 0.578 0.844
Ru: 0.422 0.422 0.156
Hg: 0.000 0.000 0.000

Calculated values
VASP energy = -22.18 eV/cell


Repeat the first record exactly.
Compound: HgRu3Br
Source: Alexandria via LeMat-Bulk
Functional: PBE
Structure: optimized geometry

a b c (Å): 5.094 5.094 5.094
angles (deg): 90.00 90.00 90.00
Fractional positions:
Br: 0.500 0.500 0.500
Ru: 0.000 0.000 0.500
Ru: 0.500 0.000 0.000
Ru: 0.000 0.500 0.000
Hg: 0.000 0.000 0.000

Calculated values
energy above the most stable polymorph in this dataset = 793 meV per atom